A plane-wave DFT calculation with PBE was carried out for a geometry-optimized Rb2NaAuCl6 structure.

The value obtained for the total moment is 0.0 μB/cell. The value obtained for the formation energy without anion corrections is -1.233 eV/atom. The value obtained for the total energy is -59.9 eV per cell. As for the crystal system: tetragonal.

The structure belongs to space group I4/mmm (No. 139); the cell edges are 7.265, 7.265 and 11.669 Å and the angles 90.00°, 90.00° and 90.00°. The inequivalent atoms are Rb at (0.000, 0.500, 0.250), Na at (0.000, 0.000, 0.000), Au at (0.000, 0.000, 0.500), Cl at (0.000, 0.000, 0.225) and Cl at (0.226, 0.226, 0.500).